(1)
A PBEsol-optimized structure of BeCo2, computed with meta-GGA SCAN.

Unit cell a=2.406 b=2.406 c=5.611 alpha=90.00 beta=90.00 gamma=120.00
Element x y z (fractional)
Be  0.000  0.000  0.000
Co  0.333  0.667  0.325
Co  0.667  0.333  0.675

Output
Energy of formation from the pure elements, eV per atom: -0.05
Uncorrected energy, eV per atom: -13.033
DOS at the Fermi energy, states/eV per cell: 2.09



(2)
A PBEsol-optimized structure of BeCo4, computed with meta-GGA SCAN.

Unit cell a=5.393 b=5.393 c=3.368 alpha=90.00 beta=90.00 gamma=90.00
Element x y z (fractional)
Be  0.000  0.000  0.000
Be  0.500  0.500  0.500
Co  0.097  0.296  0.500
Co  0.204  0.597  0.000
Co  0.296  0.903  0.500
Co  0.403  0.204  0.000
Co  0.597  0.796  0.000
Co  0.704  0.097  0.500
Co  0.796  0.403  0.000
Co  0.903  0.704  0.500

Output
Energy of formation from the pure elements, eV per atom: -0.05
Uncorrected energy, eV per atom: -14.763
DOS at the Fermi energy, states/eV per cell: 5.25



(3)
A PBEsol-optimized structure of BeCo2, computed with meta-GGA SCAN.

Unit cell a=3.781 b=3.781 c=4.497 alpha=90.00 beta=90.00 gamma=120.00
Element x y z (fractional)
Be  0.333  0.667  0.250
Be  0.667  0.333  0.750
Co  0.000  0.000  0.000
Co  0.000  0.000  0.500
Co  0.333  0.667  0.750
Co  0.667  0.333  0.250

Output
Energy of formation from the pure elements, eV per atom: -0.05
Uncorrected energy, eV per atom: -13.040
DOS at the Fermi energy, states/eV per cell: 5.17



(4)
A PBEsol-optimized structure of BeCo, computed with meta-GGA SCAN.

Unit cell a=2.400 b=2.400 c=3.533 alpha=90.00 beta=90.00 gamma=120.00
Element x y z (fractional)
Be  0.000  0.000  0.000
Co  0.333  0.667  0.500

Output
Energy of formation from the pure elements, eV per atom: -0.09
Uncorrected energy, eV per atom: -10.915
DOS at the Fermi energy, states/eV per cell: 1.62